Entry 1:
An optimized crystal structure of LiHo3Rh4, computed with PBE.

The energy relative to the elements comes out at -0.724 eV/atom. Its density of states at the Fermi level is 1.92 states/eV per cell. For the electronic total energy, the calculation gives -6.3561 eV/atom.

The space group is P4/mmm (No. 123) and the conventional cell measures 4.6992, 4.6992 and 6.6236 Å, with angles of 90.00, 90.00 and 90.00 degrees. The distinct sites, in fractional coordinates, are Li at (0.0000, 0.0000, 0.0000), Ho at (0.0000, 0.0000, 0.5000), Ho at (0.5000, 0.5000, 0.0000), Ho at (0.5000, 0.5000, 0.5000) and Rh at (0.0000, 0.5000, 0.2461).

Entry 2:
An optimized crystal structure of LiHoSbRh, computed with PBE.

The value obtained for the formation energy from raw total energies is -0.849 eV/atom. For the electronic total energy, the calculation gives -5.3399 eV/atom.

The space group is F-43m (No. 216) and the conventional cell measures 6.6280, 6.6280 and 6.6280 Å, with angles of 90.00, 90.00 and 90.00 degrees. The distinct sites, in fractional coordinates, are Li at (0.0000, 0.0000, 0.0000), Ho at (0.2500, 0.2500, 0.7500), Sb at (0.2500, 0.2500, 0.2500) and Rh at (0.0000, 0.0000, 0.5000).

Copy entry 1 word for word.
An optimized crystal structure of LiHo3Rh4, computed with PBE.

The energy relative to the elements comes out at -0.724 eV/atom. Its density of states at the Fermi level is 1.92 states/eV per cell. For the electronic total energy, the calculation gives -6.3561 eV/atom.

The space group is P4/mmm (No. 123) and the conventional cell measures 4.6992, 4.6992 and 6.6236 Å, with angles of 90.00, 90.00 and 90.00 degrees. The distinct sites, in fractional coordinates, are Li at (0.0000, 0.0000, 0.0000), Ho at (0.0000, 0.0000, 0.5000), Ho at (0.5000, 0.5000, 0.0000), Ho at (0.5000, 0.5000, 0.5000) and Rh at (0.0000, 0.5000, 0.2461).

> electronic total energy of number 2 (LiHoSbRh)?

-5.3399 eV/atom

Please write out number 2 again, unchanged.
An optimized crystal structure of LiHoSbRh, computed with PBE.

The value obtained for the formation energy from raw total energies is -0.849 eV/atom. For the electronic total energy, the calculation gives -5.3399 eV/atom.

The space group is F-43m (No. 216) and the conventional cell measures 6.6280, 6.6280 and 6.6280 Å, with angles of 90.00, 90.00 and 90.00 degrees. The distinct sites, in fractional coordinates, are Li at (0.0000, 0.0000, 0.0000), Ho at (0.2500, 0.2500, 0.7500), Sb at (0.2500, 0.2500, 0.2500) and Rh at (0.0000, 0.0000, 0.5000).